Density functional theory data (GGA-PBE) for crystalline Sm2Er4Sc at its relaxed geometry.

Properties
excess energy over the best structure of this formula in the dataset: 0.000 eV per atom
energy relative to the elements: 28 meV/atom

Cell lengths 3.5389, 3.5389, 19.8522 Å; angles 84.89, 84.89, 60.00 degrees
Last column: nearest neighbours and their distance in Å.
Sites, in units of the cell vectors:
Sm: 0.1919 0.1919 0.4242  9 Sm 3.54-3.62, 3 Er 3.55
Sm: 0.8081 0.8081 0.5758  9 Sm 3.54-3.62, 3 Er 3.55
Er: 0.3782 0.3782 0.8654  3 Sc 3.35, 9 Er 3.48-3.54
Er: 0.0924 0.0924 0.7227  9 Er 3.48-3.54, 3 Sm 3.55
Er: 0.6218 0.6218 0.1346  3 Sc 3.35, 9 Er 3.48-3.54
Er: 0.9076 0.9076 0.2773  9 Er 3.48-3.54, 3 Sm 3.55
Sc: 0.0000 0.0000 0.0000  6 Er 3.35, 6 Sc 3.54

***

Density functional theory data (GGA-PBE) for crystalline ZrAl8Ni4 at its relaxed geometry.

Properties
energy relative to the elements: -577 meV/atom

Cell lengths 5.0874, 6.5164, 6.5164 Å; angles 81.24, 67.02, 67.02 degrees
Last column: nearest neighbours and their distance in Å.
Sites, in units of the cell vectors:
Zr: 0.0000 0.0000 0.0000  12 Al 2.88-3.15
Al: 0.0000 0.3395 0.6605  4 Ni 2.59, 5 Al 2.72-2.75, 1 Zr 2.88
Al: 0.0000 0.6605 0.3395  4 Ni 2.59, 5 Al 2.72-2.75, 1 Zr 2.88
Al: 0.3395 0.6605 0.6605  4 Ni 2.59, 5 Al 2.72-2.75, 1 Zr 2.88
Al: 0.6605 0.3395 0.3395  4 Ni 2.59, 5 Al 2.72-2.75, 1 Zr 2.88
Al: 0.5000 0.7811 0.2189  4 Ni 2.49, 6 Al 2.63-2.75
Al: 0.5000 0.2189 0.7811  4 Ni 2.49, 6 Al 2.63-2.75
Al: 0.2811 0.2189 0.2189  4 Ni 2.49, 6 Al 2.63-2.75
Al: 0.7189 0.7811 0.7811  4 Ni 2.49, 6 Al 2.63-2.75
Ni: 0.0000 0.0000 0.5000  8 Al 2.49-2.59, 2 Ni 2.54
Ni: 0.5000 0.0000 0.5000  8 Al 2.49-2.59, 2 Ni 2.54
Ni: 0.0000 0.5000 0.0000  8 Al 2.49-2.59, 2 Ni 2.54
Ni: 0.5000 0.5000 0.0000  8 Al 2.49-2.59, 2 Ni 2.54

***

Density functional theory data (GGA-PBE) for crystalline LiAs2Au at its relaxed geometry.

Properties
excess energy over the best structure of this formula in the dataset: 0.147 eV per atom
energy relative to the elements: -90 meV/atom

Cell lengths 5.2981, 5.2981, 5.2981 Å; angles 137.96, 131.75, 65.89 degrees
Last column: nearest neighbours and their distance in Å.
Sites, in units of the cell vectors:
As: 0.9766 0.9766 0.0000  2 Au 2.77, 4 As 2.91, 4 Li 2.96-3.09
As: 0.5234 0.5234 0.0000  2 Au 2.77, 4 As 2.91, 4 Li 2.96-3.09
Au: 0.7500 0.2500 0.5000  4 As 2.77, 4 Li 2.88
Li: 0.2500 0.7500 0.5000  4 Au 2.88, 8 As 2.96-3.09

***

Density functional theory data (GGA-PBE) for crystalline CaO3F at its relaxed geometry.

Properties
total DFT energy (no corrections): -3.84 eV/atom

Cell lengths 4.4180, 4.4180, 4.4180 Å; angles 90.00, 90.00, 90.00 degrees
Last column: nearest neighbours and their distance in Å.
Sites, in units of the cell vectors:
Ca: 0.0000 0.0000 0.0000  6 O 2.21
O: 0.0000 0.5000 0.0000  2 Ca 2.21
O: 0.0000 0.0000 0.5000  2 Ca 2.21
O: 0.5000 0.0000 0.0000  2 Ca 2.21
F: 0.5000 0.5000 0.5000  12 O 3.12

***

Density functional theory data (GGA-PBE) for crystalline NpGaCo4P2 at its relaxed geometry.

Properties
energy relative to the elements: -436 meV/atom

Cell lengths 3.8207, 3.8207, 7.5323 Å; angles 90.00, 90.00, 90.00 degrees
Last column: nearest neighbours and their distance in Å.
Sites, in units of the cell vectors:
Np: 0.0000 0.0000 0.5000  8 P 2.99, 8 Co 3.00
Ga: 0.0000 0.0000 0.0000  8 Co 2.40
Co: 0.0000 0.5000 0.1923  2 P 2.18, 2 Ga 2.40
Co: 0.5000 0.0000 0.8077  2 P 2.18, 2 Ga 2.40
Co: 0.5000 0.0000 0.1923  2 P 2.18, 2 Ga 2.40
Co: 0.0000 0.5000 0.8077  2 P 2.18, 2 Ga 2.40
P: 0.5000 0.5000 0.3311  4 Co 2.18
P: 0.5000 0.5000 0.6689  4 Co 2.18

***

Density functional theory data (GGA-PBE) for crystalline YMo2Rh at its relaxed geometry.

Properties
excess energy over the best structure of this formula in the dataset: 0.195 eV per atom
energy relative to the elements: 161 meV/atom

Cell lengths 2.9439, 2.9439, 8.6747 Å; angles 90.00, 90.00, 107.26 degrees
Last column: nearest neighbours and their distance in Å.
Sites, in units of the cell vectors:
Mo: 0.0000 0.0000 0.0291  2 Mo 2.62
Mo: 0.5000 0.5000 0.2545  2 Rh 2.61, 2 Mo 2.62
Rh: 0.0000 0.0000 0.4783  2 Mo 2.61, 2 Y 2.85
Y: 0.5000 0.5000 0.7382  2 Rh 2.85, 4 Y 2.94, 2 Mo 3.07

***

Density functional theory data (GGA-PBE) for crystalline TlCd4Pb4 at its relaxed geometry.

Properties
energy relative to the elements: 118 meV/atom

Cell lengths 7.2914, 7.2914, 10.8022 Å; angles 90.00, 90.00, 90.00 degrees
Last column: nearest neighbours and their distance in Å.
Sites, in units of the cell vectors:
Tl: 0.0000 0.0000 0.0000  4 Cd 3.93, 8 Pb 4.14
Tl: 0.5000 0.5000 0.5000  4 Cd 3.93, 8 Pb 4.14
Cd: 0.5000 0.7921 0.8057  1 Cd 3.03, 5 Pb 3.09-3.17
Cd: 0.5000 0.2079 0.8057  1 Cd 3.03, 5 Pb 3.09-3.17
Cd: 0.7921 0.5000 0.1943  1 Cd 3.03, 5 Pb 3.09-3.17
Cd: 0.2079 0.5000 0.1943  1 Cd 3.03, 5 Pb 3.09-3.17
Cd: 0.2921 0.0000 0.3057  1 Cd 3.03, 5 Pb 3.09-3.17
Cd: 0.7079 0.0000 0.3057  1 Cd 3.03, 5 Pb 3.09-3.17
Cd: 0.0000 0.2921 0.6943  1 Cd 3.03, 5 Pb 3.09-3.17
Cd: 0.0000 0.7079 0.6943  1 Cd 3.03, 5 Pb 3.09-3.17
Pb: 0.2271 0.5000 0.9017  5 Cd 3.09-3.17, 1 Pb 3.31
Pb: 0.7729 0.5000 0.9017  5 Cd 3.09-3.17, 1 Pb 3.31
Pb: 0.5000 0.7729 0.0983  5 Cd 3.09-3.17, 1 Pb 3.31
Pb: 0.5000 0.2271 0.0983  5 Cd 3.09-3.17, 1 Pb 3.31
Pb: 0.0000 0.7271 0.4017  5 Cd 3.09-3.17, 1 Pb 3.31
Pb: 0.0000 0.2729 0.4017  5 Cd 3.09-3.17, 1 Pb 3.31
Pb: 0.2729 0.0000 0.5983  5 Cd 3.09-3.17, 1 Pb 3.31
Pb: 0.7271 0.0000 0.5983  5 Cd 3.09-3.17, 1 Pb 3.31

***

Density functional theory data (GGA-PBE) for crystalline Cu2Pd2Au3 at its relaxed geometry.

Properties
excess energy over the best structure of this formula in the dataset: 0.000 eV per atom
energy relative to the elements: -86 meV/atom

Cell lengths 3.9791, 4.8420, 6.3372 Å; angles 98.19, 90.00, 114.26 degrees
Last column: nearest neighbours and their distance in Å.
Sites, in units of the cell vectors:
Cu: 0.7851 0.5701 0.8609  4 Pd 2.69-2.84, 2 Cu 2.79, 6 Au 2.79-2.85
Cu: 0.2149 0.4299 0.1391  4 Pd 2.69-2.84, 2 Cu 2.79, 6 Au 2.79-2.85
Pd: 0.9223 0.8447 0.2714  4 Cu 2.69-2.84, 7 Au 2.78-2.87, 1 Pd 3.01
Pd: 0.0777 0.1553 0.7286  4 Cu 2.69-2.84, 7 Au 2.78-2.87, 1 Pd 3.01
Au: 0.5000 0.0000 0.0000  4 Pd 2.78, 6 Cu 2.79-2.80, 2 Au 2.81
Au: 0.6428 0.2857 0.4288  4 Au 2.80-2.81, 5 Pd 2.80-2.87, 3 Cu 2.83-2.85
Au: 0.3572 0.7143 0.5712  4 Au 2.80-2.81, 5 Pd 2.80-2.87, 3 Cu 2.83-2.85